No. 1
A geometry-optimized Cu2Ag3 structure, computed with PBE. Values from VASP.

Cell and atoms, written as Quantum ESPRESSO input:
```
&SYSTEM
  ibrav = 0, nat = 10, ntyp = 2
/
ATOMIC_SPECIES
Cu 63.55 Cu.upf
Ag 107.87 Ag.upf
CELL_PARAMETERS angstrom
1.422 0.821 22.216
-1.422 0.821 22.216
0.000 -1.643 22.216
ATOMIC_POSITIONS angstrom
Cu 0.000 0.000 7.056
Cu 0.000 0.000 13.277
Cu 0.000 0.000 53.371
Cu 0.000 0.000 59.592
Ag 0.000 0.000 0.000
Ag 0.000 0.000 19.794
Ag 0.000 0.000 27.086
Ag 0.000 0.000 33.324
Ag 0.000 0.000 39.562
Ag 0.000 0.000 46.854
```

ΔH_f (0 K) in kJ/mol of formula units: 40
Symmetry: No. 166
Excess energy over the best structure of this formula in the dataset in eV/atom: 0.0516
Density in Mg/m³: 9.61



No. 2
A geometry-optimized BaZnSO structure, computed with PBE. Values from VASP.

Cell and atoms, written as Quantum ESPRESSO input:
```
&SYSTEM
  ibrav = 0, nat = 8, ntyp = 4
/
ATOMIC_SPECIES
Ba 137.33 Ba.upf
Zn 65.41 Zn.upf
S 32.06 S.upf
O 16.00 O.upf
CELL_PARAMETERS angstrom
1.810 -7.155 0.000
1.810 7.155 0.000
0.000 0.000 6.849
ATOMIC_POSITIONS angstrom
Ba 1.810 5.694 3.424
Ba 1.810 -5.694 0.000
Zn 1.810 1.880 3.167
Zn 1.810 -1.880 6.591
S 1.810 3.052 5.089
S 1.810 -3.052 1.665
O 1.810 6.134 6.046
O 1.810 -6.134 2.622
```

Symmetry: No. 36
Calculated total energy in eV per atom: -4.4412
Density in Mg/m³: 4.70



No. 3
A geometry-optimized YMg4GaPd2 structure, computed with PBE. Values from VASP.

Cell and atoms, written as Quantum ESPRESSO input:
```
&SYSTEM
  ibrav = 0, nat = 8, ntyp = 4
/
ATOMIC_SPECIES
Y 88.91 Y.upf
Mg 24.30 Mg.upf
Ga 69.72 Ga.upf
Pd 106.42 Pd.upf
CELL_PARAMETERS angstrom
7.425 0.000 0.000
0.000 2.463 6.427
0.000 -2.463 6.427
ATOMIC_POSITIONS angstrom
Y 0.000 0.000 0.000
Mg 1.622 0.000 4.892
Mg 2.291 0.000 8.570
Mg 5.134 0.000 8.570
Mg 5.803 0.000 4.892
Ga 0.000 0.000 10.038
Pd 0.000 0.000 2.777
Pd 0.000 0.000 7.383
```

Symmetry: No. 38
M_tot in μB per atom: 0.0008
Calculated total energy in eV per atom: -3.3293
Density in Mg/m³: 3.31



No. 4
A geometry-optimized ScNbPO structure, computed with PBE. Values from VASP.

Cell and atoms, written as Quantum ESPRESSO input:
```
&SYSTEM
  ibrav = 0, nat = 8, ntyp = 4
/
ATOMIC_SPECIES
Sc 44.96 Sc.upf
Nb 92.91 Nb.upf
P 30.97 P.upf
O 16.00 O.upf
CELL_PARAMETERS angstrom
3.842 0.000 0.000
0.000 3.842 0.000
0.000 0.000 8.328
ATOMIC_POSITIONS angstrom
Sc 0.960 0.960 0.933
Sc 2.881 2.881 7.394
Nb 0.960 2.881 4.164
Nb 2.881 0.960 4.164
P 0.960 0.960 5.858
P 2.881 2.881 2.470
O 0.960 2.881 0.000
O 2.881 0.960 0.000
```

Symmetry: No. 129
M_tot in μB per atom: 0.0134
Excess energy over the best structure of this formula in the dataset in eV/atom: 0.0000
Density in Mg/m³: 4.99



No. 5
A geometry-optimized LiIn2Pt structure, computed with PBE. Values from VASP.

Cell and atoms, written as Quantum ESPRESSO input:
```
&SYSTEM
  ibrav = 0, nat = 4, ntyp = 3
/
ATOMIC_SPECIES
Li 6.94 Li.upf
In 114.82 In.upf
Pt 195.08 Pt.upf
CELL_PARAMETERS angstrom
4.351 0.000 0.000
0.000 4.351 0.000
0.000 0.000 3.859
ATOMIC_POSITIONS angstrom
Li 0.000 0.000 0.000
In 0.000 2.175 1.930
In 2.175 0.000 1.930
Pt 2.175 2.175 0.000
```

Symmetry: No. 123
M_tot in μB per atom: 0.0005
Excess energy over the best structure of this formula in the dataset in eV/atom: 0.1123
Density in Mg/m³: 9.81



No. 6
A geometry-optimized PmTaAsO structure, computed with PBE. Values from VASP.

Cell and atoms, written as Quantum ESPRESSO input:
```
&SYSTEM
  ibrav = 0, nat = 8, ntyp = 4
/
ATOMIC_SPECIES
Pm 145.00 Pm.upf
Ta 180.95 Ta.upf
As 74.92 As.upf
O 16.00 O.upf
CELL_PARAMETERS angstrom
4.686 0.000 0.000
0.000 6.141 0.000
0.000 0.000 5.927
ATOMIC_POSITIONS angstrom
Pm 0.000 1.474 0.000
Pm 0.000 4.667 2.964
Ta 2.343 2.450 3.436
Ta 2.343 3.691 0.472
As 0.000 1.506 2.933
As 0.000 4.635 5.897
O 2.343 1.927 5.368
O 2.343 4.214 2.405
```

Symmetry: No. 26
M_tot in μB per atom: 0.0089
Excess energy over the best structure of this formula in the dataset in eV/atom: 0.4876
Density in Mg/m³: 8.12



Copy entry 1 word for word.
A geometry-optimized Cu2Ag3 structure, computed with PBE. Values from VASP.

Cell and atoms, written as Quantum ESPRESSO input:
```
&SYSTEM
  ibrav = 0, nat = 10, ntyp = 2
/
ATOMIC_SPECIES
Cu 63.55 Cu.upf
Ag 107.87 Ag.upf
CELL_PARAMETERS angstrom
1.422 0.821 22.216
-1.422 0.821 22.216
0.000 -1.643 22.216
ATOMIC_POSITIONS angstrom
Cu 0.000 0.000 7.056
Cu 0.000 0.000 13.277
Cu 0.000 0.000 53.371
Cu 0.000 0.000 59.592
Ag 0.000 0.000 0.000
Ag 0.000 0.000 19.794
Ag 0.000 0.000 27.086
Ag 0.000 0.000 33.324
Ag 0.000 0.000 39.562
Ag 0.000 0.000 46.854
```

ΔH_f (0 K) in kJ/mol of formula units: 40
Symmetry: No. 166
Excess energy over the best structure of this formula in the dataset in eV/atom: 0.0516
Density in Mg/m³: 9.61



Question: Among the records above, which one has the lowest density?
Answer: YMg4GaPd2



Question: Number 6 is which compound?
Answer: PmTaAsO



Question: density of number 2 (BaZnSO)?
Answer: 4.70 Mg/m³